Arrangement w

First-principles (PBEsol) data for an optimized crystal structure of CaCoBr2, as listed in Alexandria.

Computed properties:
- space group = Cm (8)
- crystal system = monoclinic

Cell: 3.733 4.846 5.600 Å, 90.55 109.47 90.00°
Positions (direct):
Ca (0.499, 0.534, 0.998)
Br (0.776, 0.574, 0.552)
Br (0.030, 0.041, 0.060)
Co (0.195, 0.351, 0.390)



Arrangement x

First-principles (PBEsol) data for an optimized crystal structure of CaCoBr2, as listed in Alexandria.

Computed properties:
- space group = P4mm (99)
- crystal system = tetragonal

Cell: 3.503 3.503 7.302 Å, 90.00 90.00 90.00°
Positions (direct):
Ca (0.000, 0.000, 0.508)
Br (0.500, 0.500, 0.292)
Br (0.000, 0.000, 0.893)
Co (0.500, 0.500, 0.807)



Taking the most stable structure as the zero point, the relative energies in eV/atom are arrangement w 0.000; arrangement x 0.119.



Arrangement w

First-principles (PBEsol) data for an optimized crystal structure of Ca2CoBr, as listed in Alexandria.

Computed properties:
- space group = P4/mmm (123)
- crystal system = tetragonal

Cell: 3.363 5.080 5.082 Å, 90.00 90.00 90.00°
Positions (direct):
Ca (0.000, 0.500, 0.500)
Co (0.500, 0.500, 0.000)
Br (0.500, 0.000, 0.500)
Ca (0.000, 0.000, 0.000)



Arrangement x

First-principles (PBEsol) data for an optimized crystal structure of Ca2CoBr, as listed in Alexandria.

Computed properties:
- space group = P4mm (99)
- crystal system = tetragonal

Cell: 4.105 4.103 5.805 Å, 90.00 90.00 90.00°
Positions (direct):
Co (0.000, 0.000, 0.363)
Br (0.500, 0.500, 0.852)
Ca (0.000, 0.000, 0.926)
Ca (0.500, 0.500, 0.358)



Taking the most stable structure as the zero point, the relative energies in eV/atom are arrangement w 0.006; arrangement x 0.000.



Arrangement w

First-principles (PBEsol) data for an optimized crystal structure of CaCr2Br, as listed in Alexandria.

Computed properties:
- space group = I4/mmm (139)
- crystal system = tetragonal

Cell: 4.049 4.049 6.318 Å, 108.69 108.69 90.00°
Positions (direct):
Cr (0.750, 0.250, 0.500)
Ca (0.000, 0.000, 0.000)
Cr (0.250, 0.750, 0.500)
Br (0.500, 0.500, 0.000)



Arrangement x

First-principles (PBEsol) data for an optimized crystal structure of CaCr2Br, as listed in Alexandria.

Computed properties:
- space group = Pmmm (47)
- crystal system = orthorhombic

Cell: 3.317 4.971 5.461 Å, 90.00 90.00 90.00°
Positions (direct):
Ca (0.500, 0.500, 0.500)
Cr (0.000, 0.000, 0.336)
Br (0.500, 0.500, 0.000)
Cr (0.000, 0.000, 0.664)



Arrangement y

First-principles (PBEsol) data for an optimized crystal structure of CaCr2Br, as listed in Alexandria.

Computed properties:
- space group = F-43m (216)
- crystal system = cubic

Cell: 5.103 5.103 5.103 Å, 60.00 60.00 60.00°
Positions (direct):
Cr (0.750, 0.750, 0.750)
Br (0.500, 0.500, 0.500)
Ca (0.250, 0.250, 0.250)
Cr (0.000, 0.000, 0.000)



Taking the most stable structure as the zero point, the relative energies in eV/atom are arrangement w 0.000; arrangement x 0.178; arrangement y 0.211.



Arrangement w

First-principles (PBEsol) data for an optimized crystal structure of CaHgBr2, as listed in Alexandria.

Computed properties:
- space group = R-3m (166)
- crystal system = trigonal

Cell: 4.141 4.141 9.546 Å, 77.47 77.47 60.00°
Positions (direct):
Br (0.224, 0.224, 0.329)
Ca (0.500, 0.500, 0.500)
Hg (0.000, 0.000, 0.000)
Br (0.776, 0.776, 0.671)



Arrangement x

First-principles (PBEsol) data for an optimized crystal structure of CaHgBr2, as listed in Alexandria.

Computed properties:
- space group = Pm (6)
- crystal system = monoclinic

Cell: 4.379 5.111 6.932 Å, 111.60 90.00 90.00°
Positions (direct):
Hg (0.500, 0.346, 0.691)
Ca (0.000, 0.534, 0.070)
Br (0.000, 0.950, 0.901)
Br (0.500, 0.670, 0.338)



Taking the most stable structure as the zero point, the relative energies in eV/atom are arrangement w 0.000; arrangement x 0.128.



Arrangement w

First-principles (PBEsol) data for an optimized crystal structure of Ca2InBr, as listed in Alexandria.

Computed properties:
- space group = P2/m (10)
- crystal system = monoclinic

Cell: 3.674 3.846 8.479 Å, 90.06 90.00 90.00°
Positions (direct):
Ca (0.000, 0.499, 0.275)
Ca (0.000, 0.501, 0.725)
In (0.500, 0.000, 0.500)
Br (0.500, 0.500, 0.000)



Arrangement x

First-principles (PBEsol) data for an optimized crystal structure of Ca2InBr, as listed in Alexandria.

Computed properties:
- space group = R-3m (166)
- crystal system = trigonal

Cell: 4.013 4.016 8.641 Å, 103.44 90.00 119.97°
Positions (direct):
In (0.000, 0.000, 0.500)
Ca (0.249, 0.497, 0.247)
Br (0.500, 0.000, 0.000)
Ca (0.751, 0.503, 0.753)



Taking the most stable structure as the zero point, the relative energies in eV/atom are arrangement w 0.000; arrangement x 0.041.



Arrangement w

First-principles (PBEsol) data for an optimized crystal structure of CaIrBr2, as listed in Alexandria.

Computed properties:
- space group = Cmmm (65)
- crystal system = orthorhombic

Cell: 3.785 3.785 6.834 Å, 90.00 90.00 112.74°
Positions (direct):
Br (0.000, 0.000, 0.772)
Ca (0.500, 0.500, 0.500)
Br (0.000, 0.000, 0.228)
Ir (0.500, 0.500, 0.000)



Arrangement x

First-principles (PBEsol) data for an optimized crystal structure of CaIrBr2, as listed in Alexandria.

Computed properties:
- space group = P4mm (99)
- crystal system = tetragonal

Cell: 3.794 3.794 6.172 Å, 90.00 90.00 90.00°
Positions (direct):
Ir (0.500, 0.500, 0.734)
Br (0.000, 0.000, 0.940)
Br (0.500, 0.500, 0.332)
Ca (0.000, 0.000, 0.494)



Taking the most stable structure as the zero point, the relative energies in eV/atom are arrangement w 0.279; arrangement x 0.000.



Arrangement w

First-principles (PBEsol) data for an optimized crystal structure of CaIrBr2, as listed in Alexandria.

Computed properties:
- space group = Amm2 (38)
- crystal system = orthorhombic

Cell: 3.774 4.111 6.908 Å, 107.32 90.00 90.00°
Positions (direct):
Br (0.500, 0.849, 0.324)
Ir (0.500, 0.036, 0.697)
Ca (0.000, 0.462, 0.549)
Br (0.000, 0.153, 0.930)



Arrangement x

First-principles (PBEsol) data for an optimized crystal structure of CaIrBr2, as listed in Alexandria.

Computed properties:
- space group = Fmmm (69)
- crystal system = orthorhombic

Cell: 4.818 4.818 5.251 Å, 115.61 115.61 93.32°
Positions (direct):
Br (0.500, 0.000, 0.500)
Ir (0.000, 0.000, 0.000)
Ca (0.500, 0.500, 0.000)
Br (0.000, 0.500, 0.500)



Taking the most stable structure as the zero point, the relative energies in eV/atom are arrangement w 0.000; arrangement x 0.303.



Arrangement w

First-principles (PBEsol) data for an optimized crystal structure of KCa2Br, as listed in Alexandria.

Computed properties:
- space group = Immm (71)
- crystal system = orthorhombic

Cell: 3.806 6.307 7.339 Å, 115.45 105.03 90.00°
Positions (direct):
Br (0.000, 0.500, 0.000)
Ca (0.303, 0.303, 0.605)
K (0.500, 0.000, 0.000)
Ca (0.697, 0.697, 0.395)



Arrangement x

First-principles (PBEsol) data for an optimized crystal structure of KCa2Br, as listed in Alexandria.

Computed properties:
- space group = Cmm2 (35)
- crystal system = orthorhombic

Cell: 3.875 3.875 11.014 Å, 90.00 90.00 112.26°
Positions (direct):
K (0.000, 0.000, 0.452)
Br (0.500, 0.500, 0.231)
Ca (0.000, 0.000, 0.043)
Ca (0.500, 0.500, 0.773)



Taking the most stable structure as the zero point, the relative energies in eV/atom are arrangement w 0.056; arrangement x 0.000.



Arrangement w

First-principles (PBEsol) data for an optimized crystal structure of Li2CaBr, as listed in Alexandria.

Computed properties:
- space group = P2/m (10)
- crystal system = monoclinic

Cell: 3.780 5.767 5.798 Å, 119.84 90.00 90.00°
Positions (direct):
Br (0.500, 0.500, 0.500)
Li (0.000, 0.130, 0.313)
Ca (0.500, 0.500, 0.000)
Li (0.000, 0.870, 0.687)



Arrangement x

First-principles (PBEsol) data for an optimized crystal structure of Li2CaBr, as listed in Alexandria.

Computed properties:
- space group = P4/mmm (123)
- crystal system = tetragonal

Cell: 3.463 3.463 8.655 Å, 90.00 90.00 90.00°
Positions (direct):
Br (0.500, 0.500, 0.000)
Li (0.000, 0.000, 0.821)
Li (0.000, 0.000, 0.179)
Ca (0.500, 0.500, 0.500)



Taking the most stable structure as the zero point, the relative energies in eV/atom are arrangement w 0.000; arrangement x 0.050.



Arrangement w

First-principles (PBEsol) data for an optimized crystal structure of Ca2MnBr, as listed in Alexandria.

Computed properties:
- space group = P4/mmm (123)
- crystal system = tetragonal

Cell: 3.450 5.440 5.440 Å, 90.00 90.00 90.00°
Positions (direct):
Ca (0.000, 0.000, 0.500)
Br (0.500, 0.000, 0.000)
Ca (0.000, 0.500, 0.000)
Mn (0.500, 0.500, 0.500)



Arrangement x

First-principles (PBEsol) data for an optimized crystal structure of Ca2MnBr, as listed in Alexandria.

Computed properties:
- space group = Cm (8)
- crystal system = monoclinic

Cell: 3.628 4.955 6.066 Å, 96.63 107.40 90.00°
Positions (direct):
Ca (0.269, 0.607, 0.537)
Mn (0.531, 0.659, 0.063)
Br (0.715, 0.081, 0.431)
Ca (0.985, 0.153, 0.969)



Taking the most stable structure as the zero point, the relative energies in eV/atom are arrangement w 0.014; arrangement x 0.000.



Arrangement w

First-principles (PBEsol) data for an optimized crystal structure of CaMnBr2, as listed in Alexandria.

Computed properties:
- space group = I4/mmm (139)
- crystal system = tetragonal

Cell: 5.072 5.068 5.072 Å, 59.97 90.00 120.03°
Positions (direct):
Mn (0.000, 0.000, 0.000)
Br (0.250, 0.500, 0.250)
Br (0.750, 0.500, 0.750)
Ca (0.500, 0.000, 0.500)



Arrangement x

First-principles (PBEsol) data for an optimized crystal structure of CaMnBr2, as listed in Alexandria.

Computed properties:
- space group = I-4m2 (119)
- crystal system = tetragonal

Cell: 4.031 4.031 6.596 Å, 107.80 107.80 90.00°
Positions (direct):
Mn (0.250, 0.750, 0.500)
Br (0.750, 0.250, 0.500)
Br (0.000, 0.000, 0.000)
Ca (0.500, 0.500, 0.000)



Taking the most stable structure as the zero point, the relative energies in eV/atom are arrangement w 0.000; arrangement x 0.032.



Arrangement w

First-principles (PBEsol) data for an optimized crystal structure of CaMoBr2, as listed in Alexandria.

Computed properties:
- space group = P4mm (99)
- crystal system = tetragonal

Cell: 3.327 3.327 8.420 Å, 90.00 90.00 90.00°
Positions (direct):
Br (0.000, 0.000, 0.916)
Ca (0.000, 0.000, 0.501)
Br (0.500, 0.500, 0.298)
Mo (0.500, 0.500, 0.785)



Arrangement x

First-principles (PBEsol) data for an optimized crystal structure of CaMoBr2, as listed in Alexandria.

Computed properties:
- space group = R-3m (166)
- crystal system = trigonal

Cell: 3.439 3.439 9.704 Å, 79.79 79.79 60.00°
Positions (direct):
Mo (0.500, 0.500, 0.500)
Ca (0.000, 0.000, 0.000)
Br (0.107, 0.107, 0.680)
Br (0.893, 0.893, 0.320)



Arrangement y

First-principles (PBEsol) data for an optimized crystal structure of CaMoBr2, as listed in Alexandria.

Computed properties:
- space group = Immm (71)
- crystal system = orthorhombic

Cell: 3.441 4.936 6.851 Å, 111.12 104.55 90.00°
Positions (direct):
Br (0.654, 0.654, 0.308)
Ca (0.500, 0.000, 0.000)
Mo (0.000, 0.500, 0.000)
Br (0.346, 0.346, 0.692)



Taking the most stable structure as the zero point, the relative energies in eV/atom are arrangement w 0.000; arrangement x 0.365; arrangement y 0.094.



Arrangement w

First-principles (PBEsol) data for an optimized crystal structure of CaNiBr2, as listed in Alexandria.

Computed properties:
- space group = Cmmm (65)
- crystal system = orthorhombic

Cell: 3.909 3.894 7.151 Å, 90.00 90.00 120.13°
Positions (direct):
Ca (0.500, 0.000, 0.500)
Ni (0.500, 0.000, 0.000)
Br (0.000, 0.000, 0.782)
Br (0.000, 0.000, 0.218)



Arrangement x

First-principles (PBEsol) data for an optimized crystal structure of CaNiBr2, as listed in Alexandria.

Computed properties:
- space group = C2/m (12)
- crystal system = monoclinic

Cell: 3.937 4.343 6.746 Å, 90.56 106.97 90.00°
Positions (direct):
Br (0.853, 0.735, 0.706)
Ni (0.000, 0.000, 0.000)
Br (0.147, 0.265, 0.294)
Ca (0.500, 0.500, 0.000)



Taking the most stable structure as the zero point, the relative energies in eV/atom are arrangement w 0.424; arrangement x 0.000.



Arrangement w

First-principles (PBEsol) data for an optimized crystal structure of CaOs2Br, as listed in Alexandria.

Computed properties:
- space group = Amm2 (38)
- crystal system = orthorhombic

Cell: 3.032 3.451 7.598 Å, 90.00 101.49 90.00°
Positions (direct):
Os (0.085, 0.000, 0.046)
Os (0.657, 0.500, 0.189)
Br (0.817, 0.000, 0.508)
Ca (0.441, 0.500, 0.758)



Arrangement x

First-principles (PBEsol) data for an optimized crystal structure of CaOs2Br, as listed in Alexandria.

Computed properties:
- space group = P4/mmm (123)
- crystal system = tetragonal

Cell: 3.640 3.640 5.975 Å, 90.00 90.00 90.00°
Positions (direct):
Br (0.500, 0.500, 0.500)
Ca (0.000, 0.000, 0.500)
Os (0.000, 0.500, 0.000)
Os (0.500, 0.000, 0.000)



Taking the most stable structure as the zero point, the relative energies in eV/atom are arrangement w 0.000; arrangement x 0.429.